# 1
A plane-wave DFT calculation with PBE was carried out for a geometry-optimized Dy6HoEr2Th3 structure.

a = 6.155 Å, b = 6.155 Å, c = 11.707 Å
α = 95.04°, β = 95.04°, γ = 119.97°
Fractional coordinates of all 12 atoms:
Dy: 0.084 0.417 0.753
Dy: 0.249 0.249 0.247
Dy: 0.417 0.084 0.753
Dy: 0.583 0.916 0.247
Dy: 0.751 0.751 0.753
Dy: 0.916 0.583 0.247
Ho: 0.000 0.000 0.500
Er: 0.333 0.667 0.500
Er: 0.667 0.333 0.500
Th: 0.167 0.833 0.000
Th: 0.500 0.500 0.000
Th: 0.833 0.167 0.000

DFT total energy, eV/atom: -5.273
Space group: C2/m, No. 12
Density of states at the Fermi level, states/eV/f.u.: 18.203
Spin magnetization, μB per formula unit: 0.000

# 2
A plane-wave DFT calculation with PBE was carried out for a geometry-optimized Dy2Ho6Er3Th structure.

a = 6.112 Å, b = 6.112 Å, c = 11.701 Å
α = 94.99°, β = 94.99°, γ = 119.96°
Fractional coordinates of all 12 atoms:
Dy: 0.167 0.833 0.000
Dy: 0.833 0.167 0.000
Ho: 0.086 0.416 0.750
Ho: 0.254 0.254 0.250
Ho: 0.416 0.086 0.750
Ho: 0.584 0.914 0.250
Ho: 0.746 0.746 0.750
Ho: 0.914 0.584 0.250
Er: 0.000 0.000 0.500
Er: 0.333 0.667 0.500
Er: 0.667 0.333 0.500
Th: 0.500 0.500 0.000

DFT total energy, eV/atom: -4.789
Space group: C2/m, No. 12
Density of states at the Fermi level, states/eV/f.u.: 15.673
Spin magnetization, μB per formula unit: 0.000